A) # Tc2BrCl | Alexandria via LeMat-Bulk | meta-GGA SCAN | single point on PBEsol structure
data_Tc2BrCl
_cell_length_a 2.924
_cell_length_b 2.924
_cell_length_c 8.180
_cell_angle_alpha 90.00
_cell_angle_beta 90.00
_cell_angle_gamma 90.00
_symmetry_space_group_name_H-M 'P 1'
_symmetry_Int_Tables_number 1
loop_
_symmetry_equiv_pos_as_xyz
'x,y,z'
loop_
_atom_site_label
_atom_site_fract_x
_atom_site_fract_y
_atom_site_fract_z
Tc1 0.000 0.000 0.000
Tc2 0.500 0.500 0.198
Br1 0.000 0.000 0.415
Cl1 0.500 0.500 0.801
# * N(E_F): 3.5 states/eV per cell

B) # Tc2BrCl | Alexandria via LeMat-Bulk | meta-GGA SCAN | single point on PBEsol structure
data_Tc2BrCl
_cell_length_a 4.350
_cell_length_b 4.350
_cell_length_c 4.350
_cell_angle_alpha 60.00
_cell_angle_beta 60.00
_cell_angle_gamma 60.00
_symmetry_space_group_name_H-M 'P 1'
_symmetry_Int_Tables_number 1
loop_
_symmetry_equiv_pos_as_xyz
'x,y,z'
loop_
_atom_site_label
_atom_site_fract_x
_atom_site_fract_y
_atom_site_fract_z
Tc1 0.250 0.250 0.250
Tc2 0.750 0.750 0.750
Br1 0.000 0.000 0.000
Cl1 0.500 0.500 0.500
# * N(E_F): 3.9 states/eV per cell

C) # Tc2BrCl | Alexandria via LeMat-Bulk | meta-GGA SCAN | single point on PBEsol structure
data_Tc2BrCl
_cell_length_a 9.247
_cell_length_b 9.247
_cell_length_c 9.247
_cell_angle_alpha 18.43
_cell_angle_beta 18.43
_cell_angle_gamma 18.43
_symmetry_space_group_name_H-M 'P 1'
_symmetry_Int_Tables_number 1
loop_
_symmetry_equiv_pos_as_xyz
'x,y,z'
loop_
_atom_site_label
_atom_site_fract_x
_atom_site_fract_y
_atom_site_fract_z
Tc1 0.000 0.000 0.000
Tc2 0.259 0.259 0.259
Br1 0.739 0.739 0.739
Cl1 0.526 0.526 0.526
# * N(E_F): 3.6 states/eV per cell

A) is preferred energetically. Next in line: 88 meV/atom higher.

A) # Te2BrCl

A crystal of Te2BrCl relaxed with PBEsol (meta-GGA SCAN, Alexandria via LeMat-Bulk).

Cell and atoms, written as CIF:
```
data_Te2BrCl
_cell_length_a 8.799
_cell_length_b 8.799
_cell_length_c 8.799
_cell_angle_alpha 26.77
_cell_angle_beta 26.77
_cell_angle_gamma 26.77
_symmetry_space_group_name_H-M 'P 1'
_symmetry_Int_Tables_number 1
loop_
_symmetry_equiv_pos_as_xyz
'x,y,z'
loop_
_atom_site_label
_atom_site_fract_x
_atom_site_fract_y
_atom_site_fract_z
Te1 0.000 0.000 0.000
Te2 0.263 0.263 0.263
Br1 0.743 0.743 0.743
Cl1 0.528 0.528 0.528
```

B) # Te2BrCl

A crystal of Te2BrCl relaxed with PBEsol (meta-GGA SCAN, Alexandria via LeMat-Bulk).

Cell and atoms, written as CIF:
```
data_Te2BrCl
_cell_length_a 4.143
_cell_length_b 4.143
_cell_length_c 8.806
_cell_angle_alpha 102.77
_cell_angle_beta 102.77
_cell_angle_gamma 58.38
_symmetry_space_group_name_H-M 'P 1'
_symmetry_Int_Tables_number 1
loop_
_symmetry_equiv_pos_as_xyz
'x,y,z'
loop_
_atom_site_label
_atom_site_fract_x
_atom_site_fract_y
_atom_site_fract_z
Te1 0.000 0.000 0.000
Te2 0.721 0.721 0.217
Br1 0.395 0.395 0.443
Cl1 0.186 0.186 0.791
```

B) is preferred energetically. Next in line: 17 meV/atom higher.

A) # Tl2BrCl | Alexandria via LeMat-Bulk | meta-GGA SCAN | single point on PBEsol structure
data_Tl2BrCl
_cell_length_a 4.542
_cell_length_b 4.542
_cell_length_c 7.837
_cell_angle_alpha 106.74
_cell_angle_beta 106.74
_cell_angle_gamma 59.78
_symmetry_space_group_name_H-M 'P 1'
_symmetry_Int_Tables_number 1
loop_
_symmetry_equiv_pos_as_xyz
'x,y,z'
loop_
_atom_site_label
_atom_site_fract_x
_atom_site_fract_y
_atom_site_fract_z
Tl1 0.246 0.246 0.238
Tl2 0.754 0.754 0.762
Br1 0.000 0.000 0.500
Cl1 0.500 0.500 0.000
# * N(E_F): 0.0 states/eV per cell

B) # Tl2BrCl | Alexandria via LeMat-Bulk | meta-GGA SCAN | single point on PBEsol structure
data_Tl2BrCl
_cell_length_a 5.411
_cell_length_b 5.411
_cell_length_c 3.836
_cell_angle_alpha 90.10
_cell_angle_beta 90.10
_cell_angle_gamma 90.01
_symmetry_space_group_name_H-M 'P 1'
_symmetry_Int_Tables_number 1
loop_
_symmetry_equiv_pos_as_xyz
'x,y,z'
loop_
_atom_site_label
_atom_site_fract_x
_atom_site_fract_y
_atom_site_fract_z
Tl1 0.000 0.500 0.000
Tl2 0.500 0.000 0.000
Br1 0.000 0.000 0.500
Cl1 0.500 0.500 0.500
# * N(E_F): 0.0 states/eV per cell

A) is preferred energetically. Next in line: 7 meV/atom higher.

A) # Tl2BrCl | Alexandria via LeMat-Bulk | meta-GGA SCAN | single point on PBEsol structure
data_Tl2BrCl
_cell_length_a 8.655
_cell_length_b 8.655
_cell_length_c 8.655
_cell_angle_alpha 131.00
_cell_angle_beta 131.00
_cell_angle_gamma 71.82
_symmetry_space_group_name_H-M 'P 1'
_symmetry_Int_Tables_number 1
loop_
_symmetry_equiv_pos_as_xyz
'x,y,z'
loop_
_atom_site_label
_atom_site_fract_x
_atom_site_fract_y
_atom_site_fract_z
Tl1 0.110 0.625 0.985
Tl2 0.375 0.360 0.485
Tl3 0.640 0.125 0.015
Tl4 0.875 0.890 0.515
Br1 0.250 0.750 0.500
Br2 0.500 0.500 0.000
Cl1 0.000 0.000 0.000
Cl2 0.750 0.250 0.500
# * N(E_F): 0.0 states/eV per cell

B) # Tl2BrCl | Alexandria via LeMat-Bulk | meta-GGA SCAN | single point on PBEsol structure
data_Tl2BrCl
_cell_length_a 3.826
_cell_length_b 3.826
_cell_length_c 7.644
_cell_angle_alpha 90.00
_cell_angle_beta 90.14
_cell_angle_gamma 90.00
_symmetry_space_group_name_H-M 'P 1'
_symmetry_Int_Tables_number 1
loop_
_symmetry_equiv_pos_as_xyz
'x,y,z'
loop_
_atom_site_label
_atom_site_fract_x
_atom_site_fract_y
_atom_site_fract_z
Tl1 0.000 0.000 0.240
Tl2 0.000 0.000 0.760
Br1 0.500 0.500 0.500
Cl1 0.500 0.500 0.000
# * N(E_F): 0.0 states/eV per cell

B) is preferred energetically. Next in line: 133 meV/atom higher.

A) # Tl2BrCl | Alexandria via LeMat-Bulk | meta-GGA SCAN | single point on PBEsol structure
data_Tl2BrCl
_cell_length_a 4.768
_cell_length_b 6.322
_cell_length_c 6.322
_cell_angle_alpha 39.30
_cell_angle_beta 90.00
_cell_angle_gamma 90.00
_symmetry_space_group_name_H-M 'P 1'
_symmetry_Int_Tables_number 1
loop_
_symmetry_equiv_pos_as_xyz
'x,y,z'
loop_
_atom_site_label
_atom_site_fract_x
_atom_site_fract_y
_atom_site_fract_z
Tl1 0.000 0.000 0.000
Tl2 0.500 0.220 0.220
Br1 0.500 0.478 0.478
Cl1 0.000 0.752 0.752
# * N(E_F): 0.0 states/eV per cell

B) # Tl2BrCl | Alexandria via LeMat-Bulk | meta-GGA SCAN | single point on PBEsol structure
data_Tl2BrCl
_cell_length_a 4.541
_cell_length_b 4.541
_cell_length_c 6.427
_cell_angle_alpha 90.00
_cell_angle_beta 90.00
_cell_angle_gamma 90.00
_symmetry_space_group_name_H-M 'P 1'
_symmetry_Int_Tables_number 1
loop_
_symmetry_equiv_pos_as_xyz
'x,y,z'
loop_
_atom_site_label
_atom_site_fract_x
_atom_site_fract_y
_atom_site_fract_z
Tl1 0.000 0.000 0.000
Tl2 0.500 0.500 0.498
Br1 0.000 0.000 0.500
Cl1 0.500 0.500 0.999
# * N(E_F): 0.0 states/eV per cell

A) is preferred energetically. Next in line: 6 meV/atom higher.

A) # YBr2Cl | Alexandria via LeMat-Bulk | meta-GGA SCAN | single point on PBEsol structure
data_YBr2Cl
_cell_length_a 3.970
_cell_length_b 7.098
_cell_length_c 7.098
_cell_angle_alpha 45.81
_cell_angle_beta 90.00
_cell_angle_gamma 90.00
_symmetry_space_group_name_H-M 'P 1'
_symmetry_Int_Tables_number 1
loop_
_symmetry_equiv_pos_as_xyz
'x,y,z'
loop_
_atom_site_label
_atom_site_fract_x
_atom_site_fract_y
_atom_site_fract_z
Y1 0.000 0.000 0.000
Br1 0.000 0.507 0.507
Br2 0.500 0.851 0.851
Cl1 0.500 0.131 0.131
# * N(E_F): 0.0 states/eV per cell

B) # YBr2Cl | Alexandria via LeMat-Bulk | meta-GGA SCAN | single point on PBEsol structure
data_YBr2Cl
_cell_length_a 7.152
_cell_length_b 7.152
_cell_length_c 7.152
_cell_angle_alpha 36.80
_cell_angle_beta 36.80
_cell_angle_gamma 36.80
_symmetry_space_group_name_H-M 'P 1'
_symmetry_Int_Tables_number 1
loop_
_symmetry_equiv_pos_as_xyz
'x,y,z'
loop_
_atom_site_label
_atom_site_fract_x
_atom_site_fract_y
_atom_site_fract_z
Y1 0.000 0.000 0.000
Br1 0.243 0.243 0.243
Br2 0.423 0.423 0.423
Cl1 0.666 0.666 0.666
# * N(E_F): 0.0 states/eV per cell

C) # YBr2Cl | Alexandria via LeMat-Bulk | meta-GGA SCAN | single point on PBEsol structure
data_YBr2Cl
_cell_length_a 5.779
_cell_length_b 5.779
_cell_length_c 6.876
_cell_angle_alpha 114.74
_cell_angle_beta 114.74
_cell_angle_gamma 37.39
_symmetry_space_group_name_H-M 'P 1'
_symmetry_Int_Tables_number 1
loop_
_symmetry_equiv_pos_as_xyz
'x,y,z'
loop_
_atom_site_label
_atom_site_fract_x
_atom_site_fract_y
_atom_site_fract_z
Y1 0.000 0.000 0.000
Br1 0.303 0.303 0.005
Br2 0.484 0.484 0.687
Cl1 0.648 0.648 0.277
# * N(E_F): 0.0 states/eV per cell

A) is preferred energetically. Next in line: 23 meV/atom higher.